# 1
Computed, not measured: an optimized crystal structure of Tc2MoW at the PBE level of DFT.

```
Tc2MoW
1.0
2.831 -3.868 0.000
2.831 3.868 0.000
0.000 0.000 2.811
Tc Mo W
2 1 1
direct
0.000 0.500 0.000
0.500 0.000 0.000
0.000 0.000 0.500
0.500 0.500 0.500
```

Results
Spin magnetization ... 0.0 μB per formula unit
Polymorph energy (0 for the lowest one) ... 117 meV/atom


# 2
Computed, not measured: an optimized crystal structure of TmLuMgRe at the PBE level of DFT.

```
TmLuMgRe
1.0
0.000 3.493 3.493
3.493 0.000 3.493
3.493 3.493 0.000
Tm Lu Mg Re
1 1 1 1
direct
0.000 0.000 0.000
0.500 0.500 0.500
0.250 0.250 0.250
0.750 0.750 0.750
```

Results
Spin magnetization ... 0.0 μB per formula unit
Calculated total energy ... -5.7176 eV/atom


# 3
Computed, not measured: an optimized crystal structure of TlIN2F at the PBE level of DFT.

```
TlIN2F
1.0
4.100 0.000 0.000
0.000 4.100 0.000
0.000 0.000 5.200
Tl I N F
1 1 2 1
direct
0.000 0.000 0.000
0.500 0.500 0.500
0.000 0.500 0.500
0.500 0.000 0.500
0.500 0.500 0.000
```

Results
Spin magnetization ... 0.0 μB per formula unit
Polymorph energy (0 for the lowest one) ... 0 meV/atom
Energy relative to the elements, uncorrected ... 0.892 eV per atom


# 4
Computed, not measured: an optimized crystal structure of TlIn2CoGe at the PBE level of DFT.

```
TlIn2CoGe
1.0
5.072 0.000 0.000
0.000 5.072 0.000
0.000 0.000 4.525
Tl In Co Ge
1 2 1 1
direct
0.000 0.000 0.000
0.000 0.500 0.500
0.500 0.000 0.500
0.500 0.500 0.500
0.500 0.500 0.000
```

Results
Spin magnetization ... 0.0 μB per formula unit
Calculated total energy ... -3.8688 eV/atom


# 5
Computed, not measured: an optimized crystal structure of Hf2CuNi at the PBE level of DFT.

```
Hf2CuNi
1.0
-3.556 3.556 2.776
3.556 -3.556 2.776
3.556 3.556 -2.776
Hf Cu Ni
4 2 2
direct
0.104 0.625 0.979
0.375 0.354 0.479
0.646 0.125 0.021
0.875 0.896 0.521
0.250 0.750 0.500
0.500 0.500 0.000
0.000 0.000 0.000
0.750 0.250 0.500
```

Results
Spin magnetization ... 0.0 μB per formula unit
Calculated total energy ... -7.2655 eV/atom


# 6
Computed, not measured: an optimized crystal structure of CaBSbTe2 at the PBE level of DFT.

```
CaBSbTe2
1.0
5.433 0.000 0.000
0.000 5.433 0.000
0.000 0.000 4.405
Ca B Sb Te
1 1 1 2
direct
0.000 0.000 0.000
0.500 0.500 0.500
0.500 0.500 0.000
0.000 0.500 0.500
0.500 0.000 0.500
```

Results
Spin magnetization ... 0.0 μB per formula unit
Polymorph energy (0 for the lowest one) ... 0 meV/atom
Energy relative to the elements, uncorrected ... 0.095 eV per atom


Number 4 is which compound?
TlIn2CoGe


Copy entry 2 word for word.
Computed, not measured: an optimized crystal structure of TmLuMgRe at the PBE level of DFT.

```
TmLuMgRe
1.0
0.000 3.493 3.493
3.493 0.000 3.493
3.493 3.493 0.000
Tm Lu Mg Re
1 1 1 1
direct
0.000 0.000 0.000
0.500 0.500 0.500
0.250 0.250 0.250
0.750 0.750 0.750
```

Results
Spin magnetization ... 0.0 μB per formula unit
Calculated total energy ... -5.7176 eV/atom